# 1
The following is a GGA-PBE calculation of a geometry-optimized HoScIn structure, from Alexandria via LeMat-Bulk.

abc: 5.1769 5.1769 6.5776
angles: 90.00 90.00 120.00
Space group P6_3/mmc (No. 194)
Symmetry-distinct sites (fractional):
1 Ho 0.0000 0.0000 0.0000
2 Sc 0.3333 0.6667 0.2500
3 In 0.3333 0.6667 0.7500

Summary:
As for the crystal system: hexagonal. The value obtained for the energy is -4.92 eV/atom. The value obtained for the formation energy is -0.369 eV per atom. The offset from the most stable computed form comes out at 0.00 eV per formula unit.

=====

# 2
The following is a GGA-PBE calculation of a geometry-optimized Ho5Sc4In structure, from Alexandria via LeMat-Bulk.

abc: 9.889 9.889 5.990
angles: 90.00 90.00 90.00
Space group I4 (No. 79)
Symmetry-distinct sites (fractional):
1 Ho 0.000 0.000 0.000
2 Ho 0.147 0.242 0.678
3 Sc 0.053 0.362 0.183
4 In 0.000 0.000 0.473

Summary:
As for the crystal system: tetragonal. The value obtained for the energy is -4.85 eV/atom. The value obtained for the formation energy is 0.249 eV per atom.

=====

Calculated values (Å³ per cell) of calculated volume for the records, taken in order: 153; 586.